This record from the Alexandria database describes Hf2CoAuC after structural relaxation. The functional is PBE.

DFT formation energy, eV/atom: -0.48
Density of states at the Fermi level, states/eV/cell: 3.811
Crystal system: tetragonal
VASP energy, eV/atom: -8.39

Lattice parameters (Å, degrees): 4.5266 4.5266 3.7552 90.00 90.00 90.00
Last column: nearest neighbours and their distance in Å.
Sites, in units of the cell vectors:
Hf1 0.0000 0.5000 0.0000  2 C 2.26
Hf2 0.5000 0.0000 0.0000  2 C 2.26
Co1 0.0000 0.0000 0.5000  2 C 1.88
Au1 0.5000 0.5000 0.5000  8 Hf 2.94, 4 Co 3.20
C1 0.0000 0.0000 0.0000  2 Co 1.88